DFT (PBE-GGA) results for a relaxed structure of BaAlHg4.

SG ... F-43m (216)
Theoretical density ... 9.37 g cm⁻³
E ... -1.240 eV/atom
DOS at the Fermi energy ... 3.15 states/eV/cell
M_tot ... 0.00 μB/cell

a = 6.235 Å, b = 6.235 Å, c = 6.235 Å
α = 60.00°, β = 60.00°, γ = 60.00°
Element x y z (fractional)
Ba  0.000  0.000  0.000
Al  0.750  0.750  0.750
Hg  0.873  0.376  0.376
Hg  0.376  0.376  0.873
Hg  0.376  0.873  0.376
Hg  0.376  0.376  0.376